The following is a PBE calculation of a relaxed La2DyCd crystal, from the Alexandria database. Values from VASP.

```
&SYSTEM
  ibrav = 0, nat = 4, ntyp = 3
/
ATOMIC_SPECIES
La 138.91 La.upf
Dy 162.50 Dy.upf
Cd 112.41 Cd.upf
CELL_PARAMETERS angstrom
1.7771 1.0260 12.6256
-1.7771 1.0260 12.6256
0.0000 -2.0520 12.6256
ATOMIC_POSITIONS crystal
La 0.0895 0.0895 0.0895
La 0.9105 0.9105 0.9105
Dy 0.5000 0.5000 0.5000
Cd 0.0000 0.0000 0.0000
```

Values from the calculation:
V, Å³ per atom: 34.53
E_form, kJ/mol of atoms: 14
Total DFT energy (no corrections), eV/f.u.: -14.803
Symmetry: R-3m, No. 166
DOS(E_F), states/eV per atom: 1.2067

---

The following is a PBE calculation of a relaxed HoSc2Ga4 crystal, from the Alexandria database. Values from VASP.

```
&SYSTEM
  ibrav = 0, nat = 7, ntyp = 3
/
ATOMIC_SPECIES
Ho 164.93 Ho.upf
Sc 44.96 Sc.upf
Ga 69.72 Ga.upf
CELL_PARAMETERS angstrom
-1.8720 2.0781 9.0563
1.8720 -2.0781 9.0563
1.8720 2.0781 -9.0563
ATOMIC_POSITIONS crystal
Ho 0.0000 0.0000 0.0000
Sc 0.3087 0.8087 0.5000
Sc 0.6913 0.1913 0.5000
Ga 0.1516 0.6516 0.5000
Ga 0.4304 0.4304 0.0000
Ga 0.5696 0.5696 0.0000
Ga 0.8484 0.3484 0.5000
```

Values from the calculation:
V, Å³ per atom: 20.13
E_form, kJ/mol of atoms: -58
Total DFT energy (no corrections), eV/f.u.: -33.588
Symmetry: Immm, No. 71
DOS(E_F), states/eV per atom: 0.7771